[1]
The following is a DFT calculation (PBE-GGA) of an optimized crystal structure of LaBeIr.

The value obtained for the uncorrected energy is -5.153 eV/atom. The magnetization comes out at 0.000 μB/atom.

The space group is F-43m (No. 216) and the conventional cell measures 6.622, 6.622 and 6.622 Å, with angles of 90.00, 90.00 and 90.00 degrees. The inequivalent atoms are La at (0.000, 0.000, 0.000), Be at (0.250, 0.250, 0.750) and Ir at (0.250, 0.250, 0.250).

[2]
The following is a DFT calculation (PBE-GGA) of an optimized crystal structure of TmF.

The value obtained for the uncorrected energy is -5.116 eV/atom. The magnetization comes out at 0.003 μB/atom.

The space group is P-6m2 (No. 187) and the conventional cell measures 3.1742, 3.1742 and 3.7399 Å, with angles of 90.00, 90.00 and 120.00 degrees. The inequivalent atoms are Tm at (0.0000, 0.0000, 0.0000) and F at (0.3333, 0.6667, 0.5000).

[3]
The following is a DFT calculation (PBE-GGA) of an optimized crystal structure of Te3Pd10.

The value obtained for the uncorrected energy is -4.828 eV/atom.

The space group is Fd-3m (No. 227, origin choice 2) and the conventional cell measures 12.603, 12.603 and 12.603 Å, with angles of 90.00, 90.00 and 90.00 degrees. The inequivalent atoms are Te at (0.000, 0.000, 0.000), Te at (0.125, 0.125, 0.625), Pd at (0.009, 0.009, 0.741) and Pd at (0.117, 0.375, 0.375).

[4]
The following is a DFT calculation (PBE-GGA) of an optimized crystal structure of CsCu.

The value obtained for the uncorrected energy is -1.773 eV/atom.

The space group is P-6m2 (No. 187) and the conventional cell measures 4.6866, 4.6866 and 4.6898 Å, with angles of 90.00, 90.00 and 120.00 degrees. The inequivalent atoms are Cs at (0.0000, 0.0000, 0.0000) and Cu at (0.6667, 0.3333, 0.5000).

[5]
The following is a DFT calculation (PBE-GGA) of an optimized crystal structure of SnPPdO.

The value obtained for the uncorrected energy is -4.782 eV/atom.

The space group is P4/nmm (No. 129, origin choice 2) and the conventional cell measures 4.338, 4.338 and 8.676 Å, with angles of 90.00, 90.00 and 90.00 degrees. The inequivalent atoms are Sn at (0.250, 0.750, 0.000), P at (0.250, 0.250, 0.196), Pd at (0.250, 0.250, 0.456) and O at (0.250, 0.750, 0.500).

[6]
The following is a DFT calculation (PBE-GGA) of an optimized crystal structure of TbHo2Se3.

The value obtained for the uncorrected energy is -5.778 eV/atom. The magnetization comes out at 0.001 μB/atom.

The space group is P-3m1 (No. 164) and the conventional cell measures 4.0557, 4.0557 and 9.9503 Å, with angles of 90.00, 90.00 and 120.00 degrees. The inequivalent atoms are Tb at (0.0000, 0.0000, 0.0000), Ho at (0.3333, 0.6667, 0.6661), Se at (0.0000, 0.0000, 0.5000) and Se at (0.3333, 0.6667, 0.1700).